Material: Pu5IrRh2
Method: DFT, GGA-PBE
State: optimized geometry

a b c (Å): 8.3503 8.3503 8.3503
angles (deg): 127.22 127.22 77.89
Closest atoms and distances in Å follow each position.
Fractional coordinates of all 16 atoms:
Pu: 0.0000 0.0000 0.0000  4 Rh 2.90, 2 Ir 3.25
Pu: 0.0179 0.5179 0.8377  3 Rh 2.86-2.99, 2 Ir 3.04, 1 Pu 3.09
Pu: 0.1802 0.0179 0.5000  3 Rh 2.86-2.99, 2 Ir 3.04, 1 Pu 3.09
Pu: 0.3198 0.8198 0.8377  3 Rh 2.86-2.99, 2 Ir 3.04, 1 Pu 3.09
Pu: 0.4821 0.3198 0.5000  3 Rh 2.86-2.99, 2 Ir 3.04, 1 Pu 3.09
Pu: 0.5000 0.5000 0.0000  4 Rh 2.90, 2 Ir 3.25
Pu: 0.5179 0.6802 0.5000  3 Rh 2.86-2.99, 2 Ir 3.04, 1 Pu 3.09
Pu: 0.6802 0.1802 0.1623  3 Rh 2.86-2.99, 2 Ir 3.04, 1 Pu 3.09
Pu: 0.8198 0.9821 0.5000  3 Rh 2.86-2.99, 2 Ir 3.04, 1 Pu 3.09
Pu: 0.9821 0.4821 0.1623  3 Rh 2.86-2.99, 2 Ir 3.04, 1 Pu 3.09
Ir: 0.2500 0.2500 0.0000  10 Pu 3.04-3.25
Ir: 0.7500 0.7500 0.0000  10 Pu 3.04-3.25
Rh: 0.1324 0.3676 0.5000  1 Rh 2.78, 8 Pu 2.86-2.99
Rh: 0.3676 0.8676 0.2351  1 Rh 2.78, 8 Pu 2.86-2.99
Rh: 0.6324 0.1324 0.7649  1 Rh 2.78, 8 Pu 2.86-2.99
Rh: 0.8676 0.6324 0.5000  1 Rh 2.78, 8 Pu 2.86-2.99

Formation energy in eV/atom: -0.368
Relative energy among the computed polymorphs in kJ/mol of formula units: 0
Spin magnetization in μB/atom: 3.459

=====

Material: VFeSn2Hg
Method: DFT, GGA-PBE
State: optimized geometry

a b c (Å): 4.9459 4.9459 5.1785
angles (deg): 90.00 90.00 90.00
Closest atoms and distances in Å follow each position.
Fractional coordinates of all 5 atoms:
V: 0.0000 0.0000 0.0000  4 Hg 3.50, 8 Sn 3.58
Fe: 0.5000 0.5000 0.5000  4 Sn 2.47, 2 Hg 2.59
Sn: 0.0000 0.5000 0.5000  2 Fe 2.47
Sn: 0.5000 0.0000 0.5000  2 Fe 2.47
Hg: 0.5000 0.5000 0.0000  2 Fe 2.59

Formation energy in eV/atom: 0.671
Spin magnetization in μB/atom: 1.066

=====

Material: LiCu2Ni6
Method: DFT, GGA-PBE
State: optimized geometry

a b c (Å): 5.6379 5.6379 7.5217
angles (deg): 103.10 103.10 25.48
Closest atoms and distances in Å follow each position.
Fractional coordinates of all 9 atoms:
Li: 0.0000 0.0000 0.0000  2 Li 2.49, 6 Ni 2.51-2.55, 4 Cu 2.51
Cu: 0.3339 0.3339 0.7752  8 Ni 2.46-2.55, 2 Cu 2.49, 2 Li 2.51
Cu: 0.6661 0.6661 0.2248  8 Ni 2.46-2.55, 2 Cu 2.49, 2 Li 2.51
Ni: 0.0047 0.0047 0.6686  9 Ni 2.47-2.51, 1 Li 2.51, 2 Cu 2.53
Ni: 0.3294 0.3294 0.1127  7 Ni 2.47-2.51, 3 Cu 2.49-2.55, 2 Li 2.55
Ni: 0.3364 0.3364 0.4484  3 Cu 2.46-2.53, 9 Ni 2.47-2.54
Ni: 0.6636 0.6636 0.5516  3 Cu 2.46-2.53, 9 Ni 2.47-2.54
Ni: 0.6706 0.6706 0.8873  7 Ni 2.47-2.51, 3 Cu 2.49-2.55, 2 Li 2.55
Ni: 0.9953 0.9953 0.3314  9 Ni 2.47-2.51, 1 Li 2.51, 2 Cu 2.53

Formation energy in eV/atom: 0.004
Spin magnetization in μB/atom: 0.249

=====

Material: Sm8Er2Tl
Method: DFT, GGA-PBE
State: optimized geometry

a b c (Å): 9.1656 9.1656 8.3492
angles (deg): 113.96 113.96 34.47
Closest atoms and distances in Å follow each position.
Fractional coordinates of all 11 atoms:
Sm: 0.0188 0.0188 0.2328  7 Sm 3.41-3.70, 2 Er 3.50-3.79, 2 Tl 3.62
Sm: 0.1640 0.1640 0.7086  8 Sm 3.44-3.84, 3 Er 3.47-3.49, 2 Tl 3.79
Sm: 0.3306 0.3306 0.5932  1 Tl 3.37, 3 Er 3.43-3.63, 8 Sm 3.44-3.75
Sm: 0.3921 0.3921 0.0670  2 Er 3.28, 1 Tl 3.29, 5 Sm 3.41-3.66
Sm: 0.6079 0.6079 0.9330  2 Er 3.28, 1 Tl 3.29, 5 Sm 3.41-3.66
Sm: 0.6694 0.6694 0.4068  1 Tl 3.37, 3 Er 3.43-3.63, 8 Sm 3.44-3.75
Sm: 0.8360 0.8360 0.2914  8 Sm 3.44-3.84, 3 Er 3.47-3.49, 2 Tl 3.79
Sm: 0.9812 0.9812 0.7672  7 Sm 3.41-3.70, 2 Er 3.50-3.79, 2 Tl 3.62
Er: 0.1985 0.1985 0.1499  9 Sm 3.28-3.63
Er: 0.8015 0.8015 0.8501  9 Sm 3.28-3.63
Tl: 0.5000 0.5000 0.5000  8 Sm 3.29-3.62

Formation energy in eV/atom: 0.018
Spin magnetization in μB/atom: 0.000

=====

Material: BiIrS2
Method: DFT, GGA-PBE
State: optimized geometry

a b c (Å): 5.6278 5.6400 6.0013
angles (deg): 71.90 82.97 85.05
Closest atoms and distances in Å follow each position.
Fractional coordinates of all 8 atoms:
Bi: 0.1928 0.2498 0.1528  2 S 2.72-3.04, 2 Ir 2.82-2.92
Bi: 0.8072 0.7502 0.8472  2 S 2.72-3.04, 2 Ir 2.82-2.92
Ir: 0.0000 0.5000 0.5000  4 S 2.33-2.36
Ir: 0.5000 0.0000 0.5000  4 S 2.34-2.38
S: 0.1434 0.0994 0.7174  2 Ir 2.36-2.38
S: 0.3627 0.5985 0.5896  1 S 2.20, 2 Ir 2.33-2.34
S: 0.6373 0.4015 0.4104  1 S 2.20, 2 Ir 2.33-2.34
S: 0.8566 0.9006 0.2826  2 Ir 2.36-2.38

Spin magnetization in μB/atom: 0.000
Formation energy (no corrections) in eV/atom: -0.206

=====

Material: In2POs
Method: DFT, GGA-PBE
State: optimized geometry

a b c (Å): 8.1632 8.1632 8.1632
angles (deg): 23.51 23.51 23.51
Closest atoms and distances in Å follow each position.
Fractional coordinates of all 4 atoms:
In: 0.2493 0.2493 0.2493  3 P 2.75, 3 Os 2.77
In: 0.7507 0.7507 0.7507  3 P 2.75, 3 Os 2.77
P: 0.5000 0.5000 0.5000  6 In 2.75
Os: 0.0000 0.0000 0.0000  6 In 2.77

Formation energy in eV/atom: 0.593
Spin magnetization in μB/atom: 0.000

=====

Material: SrGaHg4
Method: DFT, GGA-PBE
State: optimized geometry

a b c (Å): 6.1319 6.1319 6.1319
angles (deg): 60.00 60.00 60.00
Closest atoms and distances in Å follow each position.
Fractional coordinates of all 6 atoms:
Sr: 0.0000 0.0000 0.0000  12 Hg 3.60, 4 Ga 3.76
Ga: 0.7500 0.7500 0.7500  12 Hg 3.59, 4 Sr 3.76
Hg: 0.3754 0.3754 0.3754  6 Hg 3.06-3.08
Hg: 0.3754 0.3754 0.8738  6 Hg 3.06-3.08
Hg: 0.3754 0.8738 0.3754  6 Hg 3.06-3.08
Hg: 0.8738 0.3754 0.3754  6 Hg 3.06-3.08

Formation energy in eV/atom: -0.162
Relative energy among the computed polymorphs in kJ/mol of formula units: 27
Spin magnetization in μB/atom: 0.000

=====

Material: In3IrCl
Method: DFT, GGA-PBE
State: optimized geometry

a b c (Å): 3.3234 8.7317 8.7317
angles (deg): 47.16 90.00 90.00
Closest atoms and distances in Å follow each position.
Fractional coordinates of all 5 atoms:
In: 0.0000 0.0000 0.0000  1 Ir 2.55, 2 Cl 2.70
In: 0.5000 0.1059 0.5213  2 Ir 2.67, 1 In 2.90
In: 0.5000 0.5213 0.1059  2 Ir 2.67, 1 In 2.90
Ir: 0.0000 0.8408 0.8408  5 In 2.55-2.67
Cl: 0.5000 0.1330 0.1330  2 In 2.70

Relative energy among the computed polymorphs in kJ/mol of formula units: 203
Spin magnetization in μB/atom: 0.000
Formation energy (no corrections) in eV/atom: -0.017

=====

Material: CeSm5Cd6
Method: DFT, GGA-PBE
State: optimized geometry

a b c (Å): 9.3364 9.3364 9.3364
angles (deg): 146.49 131.51 60.22
Closest atoms and distances in Å follow each position.
Fractional coordinates of all 12 atoms:
Ce: 0.0000 0.0000 0.0000  8 Cd 3.34-3.35
Sm: 0.1629 0.6629 0.5000  8 Cd 3.29-3.32
Sm: 0.3320 0.3320 0.0000  8 Cd 3.28-3.29
Sm: 0.5000 0.0000 0.5000  8 Cd 3.27-3.31
Sm: 0.6680 0.6680 0.0000  8 Cd 3.28-3.29
Sm: 0.8371 0.3371 0.5000  8 Cd 3.29-3.32
Cd: 0.0853 0.8314 0.2539  7 Sm 3.28-3.32, 1 Ce 3.35
Cd: 0.2581 0.5000 0.7581  6 Sm 3.27-3.29, 2 Ce 3.34
Cd: 0.4225 0.1686 0.2539  7 Sm 3.28-3.32, 1 Ce 3.35
Cd: 0.5775 0.8314 0.7461  7 Sm 3.28-3.32, 1 Ce 3.35
Cd: 0.7419 0.5000 0.2419  6 Sm 3.27-3.29, 2 Ce 3.34
Cd: 0.9147 0.1686 0.7461  7 Sm 3.28-3.32, 1 Ce 3.35

Formation energy in eV/atom: -0.281
Spin magnetization in μB/atom: 0.289

=====

Material: TaAlH2
Method: DFT, GGA-PBE
State: optimized geometry

a b c (Å): 5.2611 5.2611 5.2611
angles (deg): 131.28 131.28 71.36
Closest atoms and distances in Å follow each position.
Fractional coordinates of all 8 atoms:
Ta: 0.0000 0.0000 0.0000  4 H 1.86
Ta: 0.7500 0.2500 0.5000  4 H 1.86
Al: 0.2500 0.7500 0.5000  4 H 1.88
Al: 0.5000 0.5000 0.0000  4 H 1.88
H: 0.1209 0.6250 0.9959  2 Ta 1.86, 2 Al 1.88
H: 0.3750 0.3709 0.4959  2 Ta 1.86, 2 Al 1.88
H: 0.6291 0.1250 0.0041  2 Ta 1.86, 2 Al 1.88
H: 0.8750 0.8791 0.5041  2 Ta 1.86, 2 Al 1.88

Relative energy among the computed polymorphs in kJ/mol of formula units: 0
Spin magnetization in μB/atom: 0.000

=====

Material: FeHRu2Pt
Method: DFT, GGA-PBE
State: optimized geometry

a b c (Å): 3.8623 3.8623 3.8896
angles (deg): 90.00 90.00 90.00
Closest atoms and distances in Å follow each position.
Fractional coordinates of all 5 atoms:
Fe: 0.0000 0.0000 0.0000  2 H 1.94
H: 0.0000 0.0000 0.5000  4 Ru 1.93, 2 Fe 1.94
Ru: 0.0000 0.5000 0.5000  2 H 1.93
Ru: 0.5000 0.0000 0.5000  2 H 1.93
Pt: 0.5000 0.5000 0.0000  4 Fe 2.73, 8 Ru 2.74

Raw total energy in eV/atom: -7.227
Spin magnetization in μB/atom: 0.650

=====

Material: LiScRu2C
Method: DFT, GGA-PBE
State: optimized geometry

a b c (Å): 4.0630 4.0630 4.0382
angles (deg): 90.00 90.00 90.00
Closest atoms and distances in Å follow each position.
Fractional coordinates of all 5 atoms:
Li: 0.0000 0.0000 0.0000  2 C 2.02
Sc: 0.5000 0.5000 0.0000  8 Ru 2.86, 4 Li 2.87
Ru: 0.0000 0.5000 0.5000  2 C 2.03
Ru: 0.5000 0.0000 0.5000  2 C 2.03
C: 0.0000 0.0000 0.5000  2 Li 2.02, 4 Ru 2.03

Formation energy in eV/atom: -0.225
Relative energy among the computed polymorphs in kJ/mol of formula units: 0
Spin magnetization in μB/atom: 0.000

=====

Material: TmSc3Au2
Method: DFT, GGA-PBE
State: optimized geometry

a b c (Å): 4.7081 8.4558 6.7620
angles (deg): 90.00 90.00 90.00
Closest atoms and distances in Å follow each position.
Fractional coordinates of all 12 atoms:
Tm: 0.0000 0.0673 0.0000  3 Au 2.87-3.04
Tm: 0.0000 0.9327 0.5000  3 Au 2.87-3.04
Sc: 0.0000 0.3310 0.6335  4 Au 2.73-2.89
Sc: 0.0000 0.6690 0.1335  4 Au 2.73-2.89
Sc: 0.5000 0.1790 0.3324  4 Au 2.74-2.87
Sc: 0.5000 0.4334 0.9647  3 Au 2.85-3.04
Sc: 0.5000 0.5666 0.4647  3 Au 2.85-3.04
Sc: 0.5000 0.8210 0.8324  4 Au 2.74-2.87
Au: 0.0000 0.3529 0.2305  6 Sc 2.73-3.04, 1 Tm 2.87
Au: 0.0000 0.6471 0.7305  6 Sc 2.73-3.04, 1 Tm 2.87
Au: 0.5000 0.1509 0.7359  5 Sc 2.74-2.89, 2 Tm 3.04
Au: 0.5000 0.8491 0.2359  5 Sc 2.74-2.89, 2 Tm 3.04

Formation energy in eV/atom: -0.657
Spin magnetization in μB/atom: 0.000

=====

Material: Rb6Sn3Br14
Method: DFT, GGA-PBE
State: optimized geometry

a b c (Å): 12.0595 12.0595 8.3519
angles (deg): 90.00 90.00 120.00
Closest atoms and distances in Å follow each position.
Fractional coordinates of all 23 atoms:
Rb: 0.0590 0.5940 0.0000  6 Br 3.36-3.63
Rb: 0.2814 0.0830 0.5219  6 Br 3.42-3.63
Rb: 0.4060 0.4650 0.0000  6 Br 3.36-3.63
Rb: 0.5350 0.9410 0.0000  6 Br 3.36-3.63
Rb: 0.8015 0.7186 0.5219  6 Br 3.42-3.63
Rb: 0.9170 0.1985 0.5219  6 Br 3.42-3.63
Sn: 0.0000 0.0000 0.9520  3 Br 2.79
Sn: 0.3333 0.6667 0.4404  4 Br 2.81-3.09
Sn: 0.6667 0.3333 0.7994  6 Br 2.66-2.67
Br: 0.0000 0.0000 0.3291  1 Sn 3.15, 3 Rb 3.42
Br: 0.0759 0.8506 0.7815  1 Sn 2.79
Br: 0.1494 0.2253 0.7815  1 Sn 2.79
Br: 0.1656 0.4410 0.2743  1 Sn 2.81
Br: 0.2754 0.8344 0.2743  1 Sn 2.81
Br: 0.3333 0.6667 0.8104  1 Sn 3.09, 3 Rb 3.36
Br: 0.4612 0.1961 0.9801  1 Sn 2.66
Br: 0.5334 0.4062 0.6146  1 Sn 2.67
Br: 0.5590 0.7246 0.2743  1 Sn 2.81
Br: 0.5938 0.1273 0.6146  1 Sn 2.67
Br: 0.7350 0.5388 0.9801  1 Sn 2.66
Br: 0.7747 0.9241 0.7815  1 Sn 2.79
Br: 0.8039 0.2650 0.9801  1 Sn 2.66
Br: 0.8727 0.4666 0.6146  1 Sn 2.67

Spin magnetization in μB/atom: 0.000
Formation energy (no corrections) in eV/atom: -1.258

=====

Material: Y2Er2Al4Zn
Method: DFT, GGA-PBE
State: optimized geometry

a b c (Å): 6.6212 6.6212 6.6212
angles (deg): 117.43 117.43 94.52
Closest atoms and distances in Å follow each position.
Fractional coordinates of all 9 atoms:
Y: 0.1989 0.1989 0.0000  1 Zn 2.71, 4 Al 3.03
Y: 0.8011 0.8011 0.0000  1 Zn 2.71, 4 Al 3.03
Er: 0.2500 0.7500 0.5000  8 Al 3.31, 4 Y 3.47
Er: 0.7500 0.2500 0.5000  8 Al 3.31, 4 Y 3.47
Al: 0.2514 0.2514 0.5027  1 Zn 2.42
Al: 0.2514 0.7486 0.0000  1 Zn 2.42
Al: 0.7486 0.2514 0.0000  1 Zn 2.42
Al: 0.7486 0.7486 0.4973  1 Zn 2.42
Zn: 0.5000 0.5000 0.0000  4 Al 2.42, 2 Y 2.71

Formation energy in eV/atom: -0.133
Spin magnetization in μB/atom: 0.000

=====

Material: CeTcSb
Method: DFT, GGA-PBE
State: optimized geometry

a b c (Å): 4.1123 4.3413 8.3678
angles (deg): 79.87 89.94 89.98
Closest atoms and distances in Å follow each position.
Fractional coordinates of all 6 atoms:
Ce: 0.2493 0.4117 0.2081  4 Tc 2.98-3.29, 3 Sb 3.32
Ce: 0.7507 0.5883 0.7919  4 Tc 2.98-3.29, 3 Sb 3.32
Tc: 0.2501 0.9678 0.9280  2 Tc 2.42, 1 Sb 2.67
Tc: 0.7499 0.0322 0.0720  2 Tc 2.42, 1 Sb 2.67
Sb: 0.2509 0.1639 0.6073  1 Tc 2.67
Sb: 0.7491 0.8361 0.3927  1 Tc 2.67

Spin magnetization in μB/atom: 0.000
Formation energy (no corrections) in eV/atom: -0.306

=====

Material: CsRb2NaGa
Method: DFT, GGA-PBE
State: optimized geometry

a b c (Å): 7.1515 7.1515 6.2212
angles (deg): 90.00 90.00 90.00
Closest atoms and distances in Å follow each position.
Fractional coordinates of all 5 atoms:
Cs: 0.0000 0.0000 0.0000  8 Rb 4.74, 4 Na 5.06
Rb: 0.0000 0.5000 0.5000  2 Ga 3.58
Rb: 0.5000 0.0000 0.5000  2 Ga 3.58
Na: 0.5000 0.5000 0.0000  2 Ga 3.11
Ga: 0.5000 0.5000 0.5000  2 Na 3.11

Formation energy in eV/atom: 0.114
Relative energy among the computed polymorphs in kJ/mol of formula units: 0
Spin magnetization in μB/atom: 0.000

=====

Material: HoMnPdPt
Method: DFT, GGA-PBE
State: optimized geometry

a b c (Å): 4.6928 4.6928 4.6928
angles (deg): 60.00 60.00 60.00
Closest atoms and distances in Å follow each position.
Fractional coordinates of all 4 atoms:
Ho: 0.0000 0.0000 0.0000  4 Pt 2.87, 4 Pd 2.87
Mn: 0.5000 0.5000 0.5000  4 Pd 2.87, 4 Pt 2.87
Pd: 0.7500 0.7500 0.7500  4 Mn 2.87, 4 Ho 2.87
Pt: 0.2500 0.2500 0.2500  4 Mn 2.87, 4 Ho 2.87

Formation energy in eV/atom: -0.671
Spin magnetization in μB/atom: 1.134

=====

Material: Pm2Ga3Ni4Ir
Method: DFT, GGA-PBE
State: optimized geometry

a b c (Å): 4.0235 4.0235 10.3807
angles (deg): 90.00 90.00 90.00
Closest atoms and distances in Å follow each position.
Fractional coordinates of all 10 atoms:
Pm: 0.0000 0.5000 0.2457  8 Ni 3.04-3.32, 6 Ga 3.14-3.25, 2 Ir 3.25
Pm: 0.5000 0.0000 0.7543  8 Ni 3.04-3.32, 6 Ga 3.14-3.25, 2 Ir 3.25
Ga: 0.0000 0.0000 0.0000  4 Ni 2.49
Ga: 0.0000 0.5000 0.6262  5 Ni 2.40-2.41
Ga: 0.5000 0.0000 0.3738  5 Ni 2.40-2.41
Ni: 0.0000 0.0000 0.5000  4 Ga 2.40
Ni: 0.0000 0.5000 0.8583  3 Ga 2.41-2.49, 2 Ir 2.49
Ni: 0.5000 0.0000 0.1417  3 Ga 2.41-2.49, 2 Ir 2.49
Ni: 0.5000 0.5000 0.5000  4 Ga 2.40
Ir: 0.5000 0.5000 0.0000  4 Ni 2.49

Formation energy in eV/atom: -0.499
Spin magnetization in μB/atom: 0.000